Material: Ti5MoC4
Method: DFT, GGA-PBE
State: relaxed

Results
Energy of formation: -0.5935 eV per atom
Theoretical density: 5259 kg/m3

Cell: 13.1966 3.0911 6.1455 Å, 90.00 105.09 90.00°
With the nearest neighbours (Å) after each atom.
Space group C2/m (No. 12)
Unique sites:
Ti 0.0000 0.0000 0.0000 x2  4 C 2.15
Ti 0.1644 0.5000 0.3526 x4  4 C 2.10-2.15
Ti 0.1677 0.5000 0.8215 x4  3 C 2.09
Mo 0.0000 0.0000 0.5000 x2  6 C 2.19-2.21
C 0.0041 0.5000 0.7584 x4  4 Ti 2.09-2.15, 2 Mo 2.21
C 0.1716 0.0000 0.5941 x4  5 Ti 2.09-2.13, 1 Mo 2.19